1.
# VNi3Sb

VNi3Sb after structural relaxation (PBE, the Alexandria database).

The structure in POSCAR format:
```
VNi3Sb
1.0
-4.241 -0.589 0.887
0.918 -3.871 1.815
0.541 1.947 3.878
Ni Sb V
3 1 1
Cartesian
-2.120 -0.295 0.444
0.459 -1.935 0.908
0.270 0.973 1.939
-1.391 -1.257 3.290
0.000 0.000 0.000
```

Results
* energy relative to the lowest polymorph listed for this composition: 0.000 eV per formula unit
* ΔE_f (raw): 0.838 eV per atom
* SG: No. 221
* total magnetic moment: 0.86 Bohr magnetons per cell
* uncorrected energy: -26.39 eV/cell

=====

2.
# Tb2HOs

Tb2HOs after structural relaxation (PBE, the Alexandria database).

The structure in POSCAR format:
```
Tb2HOs
1.0
3.280 0.000 0.000
0.000 3.280 0.000
0.000 0.000 7.135
Os Tb H
1 2 1
Cartesian
1.640 1.640 0.000
0.000 0.000 1.729
0.000 0.000 5.405
1.640 1.640 3.567
```

Results
* energy relative to the lowest polymorph listed for this composition: 0.000 eV per formula unit
* SG: No. 123
* total magnetic moment: 0.00 Bohr magnetons per cell
* uncorrected energy: -24.29 eV/cell